Computed, not measured: a relaxed structure of SrLiFeTc at the PBE level of DFT.

Computed properties:
As for the spin magnetization: 15.0 Bohr magnetons per cell. For the total energy, the calculation gives -4.78 eV per atom.

Unit cell a=6.5991 b=6.5991 c=6.5991 alpha=90.00 beta=90.00 gamma=90.00
Space group F-43m (No. 216)
Inequivalent atoms, fractional coordinates:
Sr1 0.0000 0.0000 0.0000
Li1 0.2500 0.2500 0.2500
Fe1 0.0000 0.0000 0.5000
Tc1 0.2500 0.2500 0.7500


Computed, not measured: a relaxed structure of SrLiFeTc at the PBE level of DFT.

Computed properties:
As for the spin magnetization: 16.5 Bohr magnetons per cell. For the total energy, the calculation gives -4.79 eV per atom.

Unit cell a=6.5984 b=6.5984 c=6.5984 alpha=90.00 beta=90.00 gamma=90.00
Space group F-43m (No. 216)
Inequivalent atoms, fractional coordinates:
Sr1 0.0000 0.0000 0.0000
Li1 0.2500 0.2500 0.2500
Fe1 0.2500 0.2500 0.7500
Tc1 0.0000 0.0000 0.5000


Computed, not measured: a relaxed structure of SrLiFeTc at the PBE level of DFT.

Computed properties:
As for the spin magnetization: 18.0 Bohr magnetons per cell. For the total energy, the calculation gives -4.46 eV per atom.

Unit cell a=6.7669 b=6.7669 c=6.7669 alpha=90.00 beta=90.00 gamma=90.00
Space group F-43m (No. 216)
Inequivalent atoms, fractional coordinates:
Sr1 0.0000 0.0000 0.0000
Li1 0.0000 0.0000 0.5000
Fe1 0.2500 0.2500 0.2500
Tc1 0.2500 0.2500 0.7500


Computed, not measured: a relaxed structure of LiTaTlFe at the PBE level of DFT.

Computed properties:
As for the spin magnetization: 4.0 Bohr magnetons per cell. For the total energy, the calculation gives -5.87 eV per atom.

Unit cell a=6.2457 b=6.2457 c=6.2457 alpha=90.00 beta=90.00 gamma=90.00
Space group F-43m (No. 216)
Inequivalent atoms, fractional coordinates:
Li1 0.0000 0.0000 0.0000
Ta1 0.2500 0.2500 0.7500
Tl1 0.2500 0.2500 0.2500
Fe1 0.0000 0.0000 0.5000